{"formula": "TmHfSc", "functional": "PBE", "state": "optimized geometry", "lattice": [[3.206, 0.000, 0.000], [0.000, 3.245, 0.000], [0.000, 0.000, 14.958]], "species": ["Tm", "Tm", "Hf", "Hf", "Sc", "Sc"], "frac_coords": [[0.250, 0.250, 0.085], [0.750, 0.750, 0.915], [0.250, 0.750, 0.574], [0.750, 0.250, 0.426], [0.250, 0.750, 0.282], [0.750, 0.250, 0.718]], "energy_ev_per_atom": -6.7452, "spacegroup": "Pmmn (59)", "total_magnetization_mub_per_fu": 0.00, "volume_a3_per_atom": 25.94}

{"formula": "TmHfZrSc2", "functional": "PBE", "state": "optimized geometry", "lattice": [[1.621, -7.462, 0.000], [1.621, 7.462, 0.000], [0.000, 0.000, 10.589]], "species": ["Tm", "Tm", "Hf", "Hf", "Zr", "Zr", "Sc", "Sc", "Sc", "Sc"], "frac_coords": [[0.134, 0.866, 0.750], [0.866, 0.134, 0.250], [0.500, 0.500, 0.000], [0.500, 0.500, 0.500], [0.444, 0.556, 0.750], [0.556, 0.444, 0.250], [0.180, 0.820, 0.086], [0.180, 0.820, 0.414], [0.820, 0.180, 0.586], [0.820, 0.180, 0.914]], "energy_ev_per_atom": -6.9488, "spacegroup": "Cmcm (63)", "total_magnetization_mub_per_fu": 0.00, "volume_a3_per_atom": 25.61}

{"formula": "TmHfZrSc3", "functional": "PBE", "state": "optimized geometry", "lattice": [[7.352, 0.000, 0.000], [0.000, 4.593, 0.000], [-2.897, 0.000, 8.755]], "species": ["Tm", "Tm", "Hf", "Hf", "Zr", "Zr", "Sc", "Sc", "Sc", "Sc", "Sc", "Sc"], "frac_coords": [[0.176, 0.250, 0.294], [0.824, 0.750, 0.706], [0.499, 0.750, 0.878], [0.501, 0.250, 0.122], [0.499, 0.750, 0.370], [0.501, 0.250, 0.630], [0.185, 0.750, 0.042], [0.186, 0.750, 0.551], [0.188, 0.250, 0.797], [0.812, 0.750, 0.203], [0.814, 0.250, 0.449], [0.815, 0.250, 0.958]], "energy_ev_per_atom": -6.9475, "spacegroup": "P2_1/m (11)", "total_magnetization_mub_per_fu": 0.00, "volume_a3_per_atom": 24.63}

{"formula": "HfSc3V", "functional": "PBE", "state": "optimized geometry", "lattice": [[4.879, 0.000, 0.000], [0.000, 4.879, 0.000], [0.000, 0.000, 4.879]], "species": ["Hf", "Sc", "Sc", "Sc", "V"], "frac_coords": [[0.000, 0.000, 0.000], [0.000, 0.500, 0.500], [0.500, 0.000, 0.500], [0.500, 0.500, 0.000], [0.500, 0.500, 0.500]], "energy_ev_per_atom": -6.9707, "spacegroup": "Pm-3m (221)", "total_magnetization_mub_per_fu": 0.00, "volume_a3_per_atom": 23.23}